[1]
A plane-wave DFT calculation with GGA-PBE was carried out for crystalline LiPm2HoS5 at its relaxed geometry.

The value obtained for the total energy is -5.988 eV per atom. As for the uncorrected formation energy: -1.92 eV/atom.

The structure belongs to space group Cmc2_1 (No. 36); the cell edges are 3.959, 16.419 and 11.866 Å and the angles 90.00°, 90.00° and 90.00°. The asymmetric unit holds Li at (0.000, 0.014, 0.000), Pm at (0.000, 0.376, 0.815), Pm at (0.000, 0.392, 0.204), Ho at (0.000, 0.303, 0.521), S at (0.000, 0.000, 0.302), S at (0.000, 0.137, 0.517), S at (0.000, 0.192, 0.863), S at (0.000, 0.213, 0.179) and S at (0.000, 0.453, 0.589).

=====

[2]
A plane-wave DFT calculation with GGA-PBE was carried out for crystalline LiPm3Ho2S6 at its relaxed geometry.

The value obtained for the total energy is -6.138 eV per atom. As for the uncorrected formation energy: -1.96 eV/atom.

The structure belongs to space group C2/m (No. 12); the cell edges are 6.794, 11.804 and 6.882 Å and the angles 90.00°, 109.35° and 90.00°. The asymmetric unit holds Li at (0.000, 0.000, 0.000), Pm at (0.000, 0.165, 0.500), Pm at (0.000, 0.500, 0.500), Ho at (0.000, 0.334, 0.000), S at (0.242, 0.164, 0.235) and S at (0.249, 0.000, 0.769).

=====

[3]
A plane-wave DFT calculation with GGA-PBE was carried out for crystalline Li2Pm3HoS6 at its relaxed geometry.

The value obtained for the total energy is -5.839 eV per atom. As for the uncorrected formation energy: -1.89 eV/atom.

The structure belongs to space group C2/m (No. 12); the cell edges are 6.841, 11.849 and 6.795 Å and the angles 90.00°, 109.55° and 90.00°. The asymmetric unit holds Li at (0.000, 0.167, 0.000), Pm at (0.000, 0.000, 0.500), Pm at (0.000, 0.332, 0.500), Ho at (0.000, 0.500, 0.000), S at (0.245, 0.000, 0.238) and S at (0.246, 0.333, 0.235).

=====

[4]
A plane-wave DFT calculation with GGA-PBE was carried out for crystalline Li4PmHo3S8 at its relaxed geometry.

The value obtained for the total energy is -5.535 eV per atom. As for the uncorrected formation energy: -1.84 eV/atom.

The structure belongs to space group R-3m (No. 166, hexagonal axes); the cell edges are 7.8571, 7.8571 and 18.5430 Å and the angles 90.00°, 90.00° and 120.00°. The asymmetric unit holds Li at (0.0000, 0.0000, 0.0000), Li at (0.0000, 0.5000, 0.0000), Pm at (0.0000, 0.0000, 0.5000), Ho at (0.0000, 0.5000, 0.5000), S at (0.0000, 0.0000, 0.2495) and S at (0.0070, 0.5035, 0.7494).

=====

[5]
A plane-wave DFT calculation with GGA-PBE was carried out for crystalline LiPm4Ho3S8 at its relaxed geometry.

The value obtained for the total energy is -6.199 eV per atom. As for the uncorrected formation energy: -1.97 eV/atom.

The structure belongs to space group R-3m (No. 166, hexagonal axes); the cell edges are 7.8663, 7.8663 and 19.5052 Å and the angles 90.00°, 90.00° and 120.00°. The asymmetric unit holds Li at (0.0000, 0.0000, 0.0000), Pm at (0.0000, 0.0000, 0.5000), Pm at (0.0000, 0.5000, 0.5000), Ho at (0.0000, 0.5000, 0.0000), S at (0.0000, 0.0000, 0.2546) and S at (0.0046, 0.5023, 0.7443).

=====

[6]
A plane-wave DFT calculation with GGA-PBE was carried out for crystalline Li3PmHo2S6 at its relaxed geometry.

The value obtained for the total energy is -5.534 eV per atom. As for the uncorrected formation energy: -1.83 eV/atom.

The structure belongs to space group C2/m (No. 12); the cell edges are 6.824, 11.824 and 6.587 Å and the angles 90.00°, 110.15° and 90.00°. The asymmetric unit holds Li at (0.000, 0.000, 0.000), Li at (0.000, 0.330, 0.000), Pm at (0.000, 0.500, 0.500), Ho at (0.000, 0.166, 0.500), S at (0.242, 0.000, 0.752) and S at (0.246, 0.171, 0.249).

=====

[7]
A plane-wave DFT calculation with GGA-PBE was carried out for crystalline LiPm2Ho3S6 at its relaxed geometry.

The value obtained for the total energy is -6.117 eV per atom. As for the uncorrected formation energy: -1.96 eV/atom.

The structure belongs to space group C2/m (No. 12); the cell edges are 6.790, 11.792 and 6.803 Å and the angles 90.00°, 109.58° and 90.00°. The asymmetric unit holds Li at (0.000, 0.000, 0.000), Pm at (0.000, 0.334, 0.000), Ho at (0.000, 0.167, 0.500), Ho at (0.000, 0.500, 0.500), S at (0.236, 0.000, 0.747) and S at (0.247, 0.161, 0.257).

=====

[8]
A plane-wave DFT calculation with GGA-PBE was carried out for crystalline Li2PmHoS4 at its relaxed geometry.

The value obtained for the total energy is -5.530 eV per atom. As for the uncorrected formation energy: -1.82 eV/atom.

The structure belongs to space group P2/m (No. 10); the cell edges are 6.596, 3.963 and 6.865 Å and the angles 90.00°, 110.29° and 90.00°. The asymmetric unit holds Li at (0.000, 0.000, 0.000), Li at (0.000, 0.500, 0.500), Pm at (0.500, 0.000, 0.500), Ho at (0.500, 0.500, 0.000), S at (0.246, 0.500, 0.241) and S at (0.249, 0.000, 0.757).